VASP calculation (PBE-GGA) on crystalline LaZrAg at its relaxed geometry.

volume	25.82	Å³/atom
calculated formation energy	0.05	eV/atom

Geometry as POSCAR:
```
LaZrAg
1.0
4.845 -2.824 0.000
4.845 2.824 0.000
-4.783 0.000 5.660
La Zr Ag
2 2 2
Direct
0.000 0.000 0.000
0.200 0.200 0.703
0.518 0.518 0.680
0.717 0.717 0.435
0.101 0.604 0.215
0.604 0.101 0.215
```

=====

VASP calculation (PBE-GGA) on crystalline LaZrAg at its relaxed geometry.

volume	24.14	Å³/atom
calculated formation energy	0.37	eV/atom

Geometry as POSCAR:
```
LaZrAg
1.0
5.220 0.000 0.000
-2.610 4.520 0.000
0.000 0.000 6.138
La Zr Ag
2 2 2
Direct
0.333 0.667 0.250
0.667 0.333 0.750
0.333 0.667 0.750
0.667 0.333 0.250
0.000 0.000 0.000
0.000 0.000 0.500
```

=====

VASP calculation (PBE-GGA) on crystalline LaZrAg at its relaxed geometry.

volume	38.92	Å³/atom
calculated formation energy	1.53	eV/atom

Geometry as POSCAR:
```
LaZrAg
1.0
4.950 0.000 0.000
-2.475 4.286 0.000
0.000 0.000 11.006
La Zr Ag
2 2 2
Direct
0.000 0.000 0.250
0.000 0.000 0.750
0.000 0.000 0.000
0.000 0.000 0.500
0.333 0.667 0.250
0.667 0.333 0.750
```

=====

VASP calculation (PBE-GGA) on crystalline LaZr2Ag at its relaxed geometry.

volume	24.22	Å³/atom
calculated formation energy	0.10	eV/atom

Geometry as POSCAR:
```
LaZr2Ag
1.0
3.423 0.000 0.000
0.000 3.423 0.000
0.000 0.000 8.266
La Zr Ag
1 2 1
Direct
0.000 0.000 0.000
0.500 0.500 0.286
0.500 0.500 0.714
0.000 0.000 0.500
```

=====

VASP calculation (PBE-GGA) on crystalline LaZrAg at its relaxed geometry.

volume	26.38	Å³/atom
calculated formation energy	0.08	eV/atom

Geometry as POSCAR:
```
LaZrAg
1.0
8.727 -1.633 0.000
8.727 1.633 0.000
-2.304 0.000 11.106
La Zr Ag
4 4 4
Direct
0.068 0.068 0.151
0.419 0.419 0.345
0.581 0.581 0.655
0.932 0.932 0.849
0.239 0.239 0.858
0.241 0.241 0.369
0.759 0.759 0.631
0.761 0.761 0.142
0.389 0.389 0.066
0.392 0.392 0.598
0.608 0.608 0.402
0.611 0.611 0.934
```

=====

VASP calculation (PBE-GGA) on crystalline LaZr2Ag at its relaxed geometry.

volume	25.03	Å³/atom
calculated formation energy	-0.04	eV/atom

Geometry as POSCAR:
```
LaZr2Ag
1.0
3.334 0.000 0.000
0.000 3.334 0.000
0.000 0.000 9.011
La Zr Ag
1 2 1
Direct
0.000 0.000 0.000
0.000 0.000 0.531
0.500 0.500 0.303
0.500 0.500 0.736
```

=====

VASP calculation (PBE-GGA) on crystalline La2ZrAg at its relaxed geometry.

volume	28.71	Å³/atom
calculated formation energy	0.12	eV/atom

Geometry as POSCAR:
```
La2ZrAg
1.0
1.770 1.022 10.581
-1.770 1.022 10.581
0.000 -2.044 10.581
La Zr Ag
2 1 1
Direct
0.248 0.248 0.248
0.752 0.752 0.752
0.000 0.000 0.000
0.500 0.500 0.500
```

=====

VASP calculation (PBE-GGA) on crystalline LaZr2Ag at its relaxed geometry.

volume	24.79	Å³/atom
calculated formation energy	0.16	eV/atom

Geometry as POSCAR:
```
LaZr2Ag
1.0
3.292 0.000 0.000
0.000 5.372 0.000
-0.886 0.000 5.605
La Zr Ag
1 2 1
Direct
0.000 0.000 0.000
0.314 0.500 0.730
0.686 0.500 0.270
0.500 0.000 0.500
```

=====

VASP calculation (PBE-GGA) on crystalline LaZrAg2 at its relaxed geometry.

volume	23.99	Å³/atom
calculated formation energy	-0.01	eV/atom

Geometry as POSCAR:
```
LaZrAg2
1.0
4.766 0.000 0.000
0.000 1.676 6.006
0.000 -1.676 6.006
La Zr Ag
1 1 2
Direct
0.000 0.000 0.000
0.500 0.688 0.688
0.000 0.262 0.262
0.500 0.401 0.401
```

=====

VASP calculation (PBE-GGA) on crystalline LaZrAg at its relaxed geometry.

volume	28.13	Å³/atom
calculated formation energy	0.88	eV/atom

Geometry as POSCAR:
```
LaZrAg
1.0
0.000 3.481 3.481
3.481 0.000 3.481
3.481 3.481 0.000
La Zr Ag
1 1 1
Direct
0.000 0.000 0.000
0.750 0.750 0.750
0.250 0.250 0.250
```

=====

VASP calculation (PBE-GGA) on crystalline LaZr2Ag at its relaxed geometry.

volume	24.32	Å³/atom
calculated formation energy	0.21	eV/atom

Geometry as POSCAR:
```
LaZr2Ag
1.0
1.649 0.952 10.326
-1.649 0.952 10.326
0.000 -1.904 10.326
La Zr Ag
1 2 1
Direct
0.000 0.000 0.000
0.243 0.243 0.243
0.757 0.757 0.757
0.500 0.500 0.500
```

=====

VASP calculation (PBE-GGA) on crystalline LaZrAg at its relaxed geometry.

volume	25.57	Å³/atom
calculated formation energy	-0.04	eV/atom

Geometry as POSCAR:
```
LaZrAg
1.0
3.366 0.000 0.000
0.000 5.067 0.000
0.000 0.000 8.994
La Zr Ag
2 2 2
Direct
0.000 0.000 0.000
0.000 0.500 0.426
0.000 0.500 0.779
0.500 0.000 0.655
0.500 0.000 0.311
0.500 0.500 0.104
```

=====

no.,relative energy among the computed polymorphs (eV per atom)
1,0.118
2,0.436
3,1.595
4,0.137
5,0.153
6,0.000
7,0.133
8,0.193
9,0.066
10,0.951
11,0.245
12,0.024